Crystalline CuMoOsPb at its relaxed geometry. Source: OQMD, functional PBE-GGA.

Values from the calculation:
Theoretical density   14.02 Mg/m³
Distance to the lowest polymorph of the same formula   0.00 eV/f.u.

Structure (POSCAR):
```
CuMoOsPb
1.0
-2.923 -3.029 1.690
-4.309 1.190 0.766
-3.311 -1.661 -2.617
Cu Mo Os Pb
1 1 1 1
direct
0.750 0.750 0.750
0.500 0.500 0.500
0.250 0.250 0.250
0.000 0.000 0.000
```

---

Crystalline CuSbMoOs at its relaxed geometry. Source: OQMD, functional PBE-GGA.

Values from the calculation:
Theoretical density   12.30 Mg/m³
Distance to the lowest polymorph of the same formula   0.00 eV/f.u.

Structure (POSCAR):
```
CuSbMoOs
1.0
-3.850 -0.223 2.283
-2.861 3.449 -0.089
-3.889 -0.371 -2.196
Cu Mo Os Sb
1 1 1 1
direct
0.750 0.750 0.750
0.500 0.500 0.500
0.250 0.250 0.250
0.000 0.000 0.000
```

---

Crystalline ScCuMoOs at its relaxed geometry. Source: OQMD, functional PBE-GGA.

Values from the calculation:
Theoretical density   10.57 Mg/m³
Calculated formation energy   -0.0600 eV per atom
Distance to the lowest polymorph of the same formula   0.00 eV/f.u.

Structure (POSCAR):
```
ScCuMoOs
1.0
3.185 2.681 1.552
-1.081 3.558 2.431
0.912 0.081 4.347
Cu Mo Os Sc
1 1 1 1
direct
0.750 0.750 0.750
0.500 0.500 0.500
0.250 0.250 0.250
0.000 0.000 0.000
```

---

Crystalline ScCuMoOs at its relaxed geometry. Source: OQMD, functional PBE-GGA.

Values from the calculation:
Theoretical density   10.75 Mg/m³
Calculated formation energy   -0.0564 eV per atom
Distance to the lowest polymorph of the same formula   0.01 eV/f.u.

Structure (POSCAR):
```
ScCuMoOs
1.0
0.000 3.124 3.124
3.124 0.000 3.124
3.124 3.124 0.000
Cu Mo Os Sc
1 1 1 1
direct
0.750 0.750 0.750
0.250 0.250 0.250
0.500 0.500 0.500
0.000 0.000 0.000
```

---

Crystalline CuSnMoOs at its relaxed geometry. Source: OQMD, functional PBE-GGA.

Values from the calculation:
Theoretical density   12.37 Mg/m³
Distance to the lowest polymorph of the same formula   0.00 eV/f.u.

Structure (POSCAR):
```
CuSnMoOs
1.0
2.049 -3.724 -1.362
2.858 -2.095 2.714
-1.102 -3.936 1.792
Cu Mo Os Sn
1 1 1 1
direct
0.750 0.750 0.750
0.500 0.500 0.500
0.250 0.250 0.250
0.000 0.000 0.000
```

---

Crystalline TlCuMoOs at its relaxed geometry. Source: OQMD, functional PBE-GGA.

Values from the calculation:
Theoretical density   14.27 Mg/m³
Distance to the lowest polymorph of the same formula   0.00 eV/f.u.

Structure (POSCAR):
```
TlCuMoOs
1.0
2.252 1.305 3.671
-2.101 2.351 3.211
-0.880 -1.912 3.978
Cu Mo Os Tl
1 1 1 1
direct
0.750 0.750 0.750
0.500 0.500 0.500
0.250 0.250 0.250
0.000 0.000 0.000
```

---

Crystalline CuMoPdPb at its relaxed geometry. Source: OQMD, functional PBE-GGA.

Values from the calculation:
Theoretical density   11.38 Mg/m³
Distance to the lowest polymorph of the same formula   0.00 eV/f.u.

Structure (POSCAR):
```
CuMoPdPb
1.0
-1.183 -4.450 0.080
-4.443 -1.198 0.172
-2.012 -1.914 -3.674
Cu Mo Pb Pd
1 1 1 1
direct
0.750 0.750 0.750
0.250 0.250 0.250
0.000 0.000 0.000
0.500 0.500 0.500
```

---

Crystalline CuMoPdPb at its relaxed geometry. Source: OQMD, functional PBE-GGA.

Values from the calculation:
Theoretical density   11.42 Mg/m³
Distance to the lowest polymorph of the same formula   0.14 eV/f.u.

Structure (POSCAR):
```
CuMoPdPb
1.0
1.248 -0.735 4.365
-1.667 -3.624 2.290
2.758 -3.530 1.040
Cu Mo Pb Pd
1 1 1 1
direct
0.750 0.750 0.750
0.500 0.500 0.500
0.000 0.000 0.000
0.250 0.250 0.250
```

---

Crystalline CuMoPtPb at its relaxed geometry. Source: OQMD, functional PBE-GGA.

Values from the calculation:
Theoretical density   13.49 Mg/m³
Distance to the lowest polymorph of the same formula   0.00 eV/f.u.

Structure (POSCAR):
```
CuMoPtPb
1.0
-2.896 0.615 3.530
-3.581 -2.844 0.564
-0.034 -2.995 3.501
Cu Mo Pb Pt
1 1 1 1
direct
0.750 0.750 0.750
0.250 0.250 0.250
0.000 0.000 0.000
0.500 0.500 0.500
```

---

Crystalline CuMoPtPb at its relaxed geometry. Source: OQMD, functional PBE-GGA.

Values from the calculation:
Theoretical density   13.31 Mg/m³
Distance to the lowest polymorph of the same formula   0.25 eV/f.u.

Structure (POSCAR):
```
CuMoPtPb
1.0
-1.931 -3.781 1.842
-1.483 0.061 4.384
-4.537 -0.072 0.910
Cu Mo Pb Pt
1 1 1 1
direct
0.750 0.750 0.750
0.500 0.500 0.500
0.000 0.000 0.000
0.250 0.250 0.250
```

---

Crystalline CuReMoPb at its relaxed geometry. Source: OQMD, functional PBE-GGA.

Values from the calculation:
Theoretical density   13.83 Mg/m³
Distance to the lowest polymorph of the same formula   0.00 eV/f.u.

Structure (POSCAR):
```
CuReMoPb
1.0
0.000 3.214 3.214
3.214 0.000 3.214
3.214 3.214 0.000
Cu Mo Pb Re
1 1 1 1
direct
0.750 0.750 0.750
0.000 0.000 0.000
0.500 0.500 0.500
0.250 0.250 0.250
```

---

Crystalline ScCuMoPb at its relaxed geometry. Source: OQMD, functional PBE-GGA.

Values from the calculation:
Theoretical density   9.21 Mg/m³
Distance to the lowest polymorph of the same formula   0.00 eV/f.u.

Structure (POSCAR):
```
ScCuMoPb
1.0
0.000 3.335 3.335
3.335 0.000 3.335
3.335 3.335 0.000
Cu Mo Pb Sc
1 1 1 1
direct
0.750 0.750 0.750
0.250 0.250 0.250
0.000 0.000 0.000
0.500 0.500 0.500
```

---

Crystalline CuTcMoPb at its relaxed geometry. Source: OQMD, functional PBE-GGA.

Values from the calculation:
Theoretical density   11.71 Mg/m³
Distance to the lowest polymorph of the same formula   0.00 eV/f.u.

Structure (POSCAR):
```
CuTcMoPb
1.0
0.000 3.206 3.206
3.206 0.000 3.206
3.206 3.206 0.000
Cu Mo Pb Tc
1 1 1 1
direct
0.750 0.750 0.750
0.000 0.000 0.000
0.500 0.500 0.500
0.250 0.250 0.250
```

---

Crystalline Cu2MoPd at its relaxed geometry. Source: OQMD, functional PBE-GGA.

Values from the calculation:
Theoretical density   9.84 Mg/m³
Calculated formation energy   0.2238 eV per atom

Structure (POSCAR):
```
Cu2MoPd
1.0
0.000 3.029 3.029
3.029 0.000 3.029
3.029 3.029 0.000
Cu Mo Pd
2 1 1
direct
0.000 0.000 0.000
0.250 0.250 0.250
0.750 0.750 0.750
0.500 0.500 0.500
```

---

Crystalline CuSbMoPd at its relaxed geometry. Source: OQMD, functional PBE-GGA.

Values from the calculation:
Theoretical density   9.77 Mg/m³
Distance to the lowest polymorph of the same formula   0.00 eV/f.u.

Structure (POSCAR):
```
CuSbMoPd
1.0
0.000 3.206 3.206
3.206 0.000 3.206
3.206 3.206 0.000
Cu Mo Pd Sb
1 1 1 1
direct
0.750 0.750 0.750
0.250 0.250 0.250
0.500 0.500 0.500
0.000 0.000 0.000
```

---

Crystalline CuSiMoPd at its relaxed geometry. Source: OQMD, functional PBE-GGA.

Values from the calculation:
Theoretical density   8.65 Mg/m³
Distance to the lowest polymorph of the same formula   0.00 eV/f.u.

Structure (POSCAR):
```
CuSiMoPd
1.0
0.000 3.044 3.044
3.044 0.000 3.044
3.044 3.044 0.000
Cu Mo Pd Si
1 1 1 1
direct
0.750 0.750 0.750
0.250 0.250 0.250
0.500 0.500 0.500
0.000 0.000 0.000
```